1.
# GGA+U K3PuCo2O6, optimized geometry
data_K3PuCo2O6
_space_group_name_H-M_alt 'C 1 2/m 1'
_space_group_IT_number 12
_space_group_name_Hall '-C 2y'
_cell_length_a 5.610
_cell_length_b 9.799
_cell_length_c 6.431
_cell_angle_alpha 90.00
_cell_angle_beta 106.57
_cell_angle_gamma 90.00
loop_
_atom_site_label
_atom_site_fract_x
_atom_site_fract_y
_atom_site_fract_z
K1 0.000 0.000 0.000
K2 0.000 0.326 0.000
Pu1 0.000 0.500 0.500
Co1 0.000 0.167 0.500
O1 0.227 0.336 0.682
O2 0.235 0.000 0.686
# energy	-6.5056	eV per atom

2.
# GGA+U KPuCoO6, optimized geometry
data_KPuCoO6
_space_group_name_H-M_alt 'C 1 2 1'
_space_group_IT_number 5
_space_group_name_Hall 'C 2y'
_cell_length_a 5.196
_cell_length_b 8.868
_cell_length_c 6.138
_cell_angle_alpha 90.00
_cell_angle_beta 90.47
_cell_angle_gamma 90.00
loop_
_atom_site_label
_atom_site_fract_x
_atom_site_fract_y
_atom_site_fract_z
K1 0.000 0.000 0.000
Pu1 0.000 0.665 0.500
Co1 0.000 0.327 0.500
O1 0.127 0.492 0.676
O2 0.168 0.191 0.677
O3 0.194 0.818 0.673
# energy	-7.2610	eV per atom

3.
# GGA+U KPuCoO4, optimized geometry
data_KPuCoO4
_space_group_name_H-M_alt 'I m m a'
_space_group_IT_number 74
_space_group_name_Hall '-I 2b 2'
_cell_length_a 6.416
_cell_length_b 6.962
_cell_length_c 9.899
_cell_angle_alpha 90.00
_cell_angle_beta 90.00
_cell_angle_gamma 90.00
loop_
_atom_site_label
_atom_site_fract_x
_atom_site_fract_y
_atom_site_fract_z
K1 0.000 0.250 0.158
Pu1 0.000 0.000 0.500
Co1 0.250 0.250 0.750
O1 0.000 0.059 0.711
O2 0.203 0.250 0.499
# energy	-7.7433	eV per atom

4.
# GGA+U K2PuCoO6, optimized geometry
data_K2PuCoO6
_space_group_name_H-M_alt 'R -3 m'
_space_group_IT_number 166
_space_group_name_Hall '-R 3 2"'
_cell_length_a 5.9037
_cell_length_b 5.9037
_cell_length_c 29.0016
_cell_angle_alpha 90.00
_cell_angle_beta 90.00
_cell_angle_gamma 120.00
loop_
_atom_site_label
_atom_site_fract_x
_atom_site_fract_y
_atom_site_fract_z
K1 0.0000 0.0000 0.1353
K2 0.0000 0.0000 0.2846
Pu1 0.0000 0.0000 0.4085
Co1 0.0000 0.0000 0.0000
Co2 0.0000 0.0000 0.5000
O1 0.9997 0.4998 0.2949
O2 0.0433 0.5216 0.1237
# energy	-6.9479	eV per atom

5.
# GGA+U K2PuCo2O6, optimized geometry
data_K2PuCo2O6
_space_group_name_H-M_alt 'R -3 m'
_space_group_IT_number 166
_space_group_name_Hall '-R 3 2"'
_cell_length_a 6.0418
_cell_length_b 6.0418
_cell_length_c 16.5729
_cell_angle_alpha 90.00
_cell_angle_beta 90.00
_cell_angle_gamma 120.00
loop_
_atom_site_label
_atom_site_fract_x
_atom_site_fract_y
_atom_site_fract_z
K1 0.0000 0.0000 0.2212
Pu1 0.0000 0.0000 0.0000
Co1 0.0000 0.0000 0.4270
O1 0.0165 0.5082 0.7404
# energy	-6.8328	eV per atom

6.
# GGA+U KRb2CoO2, optimized geometry
data_KRb2CoO2
_space_group_name_H-M_alt 'P n n m'
_space_group_IT_number 58
_space_group_name_Hall '-P 2 2n'
_cell_length_a 5.990
_cell_length_b 11.084
_cell_length_c 4.440
_cell_angle_alpha 90.00
_cell_angle_beta 90.00
_cell_angle_gamma 90.00
loop_
_atom_site_label
_atom_site_fract_x
_atom_site_fract_y
_atom_site_fract_z
K1 0.000 0.000 0.000
Rb1 0.086 0.266 0.500
Co1 0.000 0.500 0.000
O1 0.231 0.398 0.000
# energy	-4.0081	eV per atom